1.
Crystalline LiPaZnPt at its relaxed geometry. Source: Alexandria, functional PBE.

Properties
The electronic total energy comes out at -5.05 eV per atom. For the formation energy, the calculation gives -370 meV per atom.

abc: 6.715 6.715 6.715
angles: 90.00 90.00 90.00
Space group F-43m (No. 216)
Inequivalent atoms, fractional coordinates:
Li 0.000 0.000 0.000 [4 per cell]
Pa 0.000 0.000 0.500 [4 per cell]
Zn 0.250 0.250 0.250 [4 per cell]
Pt 0.250 0.250 0.750 [4 per cell]


2.
Crystalline KHg3N at its relaxed geometry. Source: Alexandria, functional PBE.

Properties
As for the offset from the most stable computed form: 217 kJ/mol of formula units. The electronic total energy comes out at -1.00 eV per atom. The value obtained for the energy relative to the elements, uncorrected is 1.062 eV/atom.

abc: 7.004 7.004 7.004
angles: 90.00 90.00 90.00
Space group Pm-3m (No. 221)
Inequivalent atoms, fractional coordinates:
K 0.000 0.000 0.000 [1 per cell]
Hg 0.000 0.000 0.500 [3 per cell]
N 0.500 0.500 0.500 [1 per cell]


3.
Crystalline As6Pb7 at its relaxed geometry. Source: Alexandria, functional PBE.

Properties
The electronic total energy comes out at -3.91 eV per atom. For the formation energy, the calculation gives 233 meV per atom.

abc: 6.7534 6.7534 29.9550
angles: 90.00 90.00 120.00
Space group R-3m (No. 166, hexagonal axes)
Inequivalent atoms, fractional coordinates:
As 0.0000 0.0000 0.0811 [6 per cell]
As 0.0000 0.0000 0.1603 [6 per cell]
As 0.0000 0.0000 0.3368 [6 per cell]
Pb 0.0000 0.0000 0.5000 [3 per cell]
Pb 0.0051 0.5026 0.9262 [18 per cell]